1.
DFT (GGA-PBE) results for an optimized crystal structure of PuPaFeRe.

The space group is F-43m (No. 216) and the conventional cell measures 6.774, 6.774 and 6.774 Å, with angles of 90.00, 90.00 and 90.00 degrees. The inequivalent atoms are Pu at (0.000, 0.000, 0.000), Pa at (0.000, 0.000, 0.500), Fe at (0.250, 0.250, 0.750) and Re at (0.250, 0.250, 0.250).

For the calculated formation energy, the calculation gives 0.098 eV/atom. As for the total energy: -177.384 eV for the cell shown.

***

2.
DFT (GGA-PBE) results for an optimized crystal structure of Pu2Pa2FeSi4.

The space group is I4/mmm (No. 139) and the conventional cell measures 6.726, 6.726 and 7.876 Å, with angles of 90.00, 90.00 and 90.00 degrees. The inequivalent atoms are Pu at (0.000, 0.000, 0.183), Pa at (0.000, 0.500, 0.250), Fe at (0.000, 0.000, 0.500) and Si at (0.238, 0.238, 0.500).

As for the total energy: -159.934 eV for the cell shown. Its formation energy (no corrections) is -0.240 eV per atom.

***

3.
DFT (GGA-PBE) results for an optimized crystal structure of RbPaFeS3.

The space group is Cmcm (No. 63) and the conventional cell measures 3.907, 15.001 and 10.191 Å, with angles of 90.00, 90.00 and 90.00 degrees. The inequivalent atoms are Rb at (0.000, 0.238, 0.250), Pa at (0.000, 0.500, 0.000), Fe at (0.000, 0.035, 0.750), S at (0.000, 0.119, 0.564) and S at (0.000, 0.444, 0.750).

As for the total energy: -156.073 eV for the cell shown. Its formation energy (no corrections) is -1.285 eV per atom.

***

4.
DFT (GGA-PBE) results for an optimized crystal structure of Pa2Fe9Re.

The space group is R-3m (No. 166, hexagonal axes) and the conventional cell measures 4.7212, 4.7212 and 24.9754 Å, with angles of 90.00, 90.00 and 120.00 degrees. The inequivalent atoms are Pa at (0.0000, 0.0000, 0.1408), Fe at (0.0000, 0.0000, 0.3333), Fe at (0.0000, 0.0000, 0.5000), Fe at (0.0004, 0.5002, 0.0778) and Re at (0.0000, 0.0000, 0.0000).

For the calculated formation energy, the calculation gives 0.064 eV/atom. As for the total energy: -320.505 eV for the cell shown.

***

5.
DFT (GGA-PBE) results for an optimized crystal structure of Pa2FeRe3.

The space group is C2/m (No. 12) and the conventional cell measures 8.746, 5.656 and 5.198 Å, with angles of 90.00, 122.53 and 90.00 degrees. The inequivalent atoms are Pa at (0.121, 0.000, 0.376), Fe at (0.000, 0.500, 0.500), Re at (0.000, 0.500, 0.000) and Re at (0.250, 0.250, 0.000).

For the calculated formation energy, the calculation gives -0.158 eV/atom. As for the total energy: -131.496 eV for the cell shown.

***

6.
DFT (GGA-PBE) results for an optimized crystal structure of PaFe2Re.

The space group is P4/mmm (No. 123) and the conventional cell measures 2.856, 2.856 and 7.280 Å, with angles of 90.00, 90.00 and 90.00 degrees. The inequivalent atoms are Pa at (0.000, 0.000, 0.000), Fe at (0.500, 0.500, 0.284) and Re at (0.000, 0.000, 0.500).

For the calculated formation energy, the calculation gives 0.088 eV/atom. As for the total energy: -38.517 eV for the cell shown. As for the energy relative to the lowest polymorph listed for this composition: 0.000 eV per atom.